[1]
## Li2TmTiS4 (PBE-GGA)

Data for Li2TmTiS4 after structural relaxation.

Results
**Electronic total energy**: -45.41 eV per formula unit

a b c (Å): 6.4030 3.6795 6.4940
angles (deg): 90.00 109.16 90.00
Space group P2/m (No. 10)
Symmetry-distinct sites (fractional):
Li: 0.0000 0.0000 0.0000 [1 per cell]
Li: 0.5000 0.5000 0.0000 [1 per cell]
Tm: 0.0000 0.5000 0.5000 [1 per cell]
Ti: 0.5000 0.0000 0.5000 [1 per cell]
S: 0.2658 0.0000 0.7472 [2 per cell]
S: 0.2689 0.5000 0.2621 [2 per cell]


[2]
## Li2UTiS4 (PBE-GGA)

Data for Li2UTiS4 after structural relaxation.

Results
**Electronic total energy**: -50.54 eV per formula unit

a b c (Å): 6.3343 3.6998 6.5840
angles (deg): 90.00 108.52 90.00
Space group P2/m (No. 10)
Symmetry-distinct sites (fractional):
Li: 0.0000 0.0000 0.0000 [1 per cell]
Li: 0.5000 0.5000 0.0000 [1 per cell]
U: 0.0000 0.5000 0.5000 [1 per cell]
Ti: 0.5000 0.0000 0.5000 [1 per cell]
S: 0.2678 0.0000 0.7542 [2 per cell]
S: 0.2690 0.5000 0.2596 [2 per cell]


[3]
## Li3U2TiS6 (PBE-GGA)

Data for Li3U2TiS6 after structural relaxation.

Results
**Electronic total energy**: -77.45 eV per formula unit

a b c (Å): 16.4877 3.7346 7.6377
angles (deg): 90.00 104.90 90.00
Space group C2/m (No. 12)
Symmetry-distinct sites (fractional):
Li: 0.0000 0.0000 0.0000 [2 per cell]
Li: 0.1636 0.5000 0.3289 [4 per cell]
U: 0.1633 0.5000 0.8225 [4 per cell]
Ti: 0.0000 0.0000 0.5000 [2 per cell]
S: 0.0036 0.5000 0.2699 [4 per cell]
S: 0.1601 0.0000 0.5650 [4 per cell]
S: 0.1638 0.0000 0.0873 [4 per cell]


[4]
## LiUTiS4 (PBE-GGA)

Data for LiUTiS4 after structural relaxation.

Results
**Electronic total energy**: -47.32 eV per formula unit

a b c (Å): 7.2579 7.9812 10.4520
angles (deg): 90.00 90.00 90.00
Space group Imma (No. 74)
Symmetry-distinct sites (fractional):
Li: 0.0000 0.2500 0.1424 [4 per cell]
U: 0.0000 0.0000 0.5000 [4 per cell]
Ti: 0.2500 0.2500 0.7500 [4 per cell]
S: 0.0000 0.0325 0.7539 [8 per cell]
S: 0.2467 0.2500 0.5108 [8 per cell]


[5]
## Li2TiVS (PBE-GGA)

Data for Li2TiVS after structural relaxation.

Results
**Electronic total energy**: -24.14 eV per formula unit

a b c (Å): 4.2467 4.2467 4.6844
angles (deg): 90.00 90.00 90.00
Space group P4/mmm (No. 123)
Symmetry-distinct sites (fractional):
Li: 0.0000 0.5000 0.0000 [2 per cell]
Ti: 0.0000 0.0000 0.5000 [1 per cell]
V: 0.5000 0.5000 0.5000 [1 per cell]
S: 0.0000 0.0000 0.0000 [1 per cell]


[6]
## Li2TiV2S6 (PBE-GGA)

Data for Li2TiV2S6 after structural relaxation.

Results
**Electronic total energy**: -67.47 eV per formula unit

a b c (Å): 5.9315 10.2285 6.4594
angles (deg): 90.00 106.50 90.00
Space group C2/m (No. 12)
Symmetry-distinct sites (fractional):
Li: 0.0000 0.1748 0.0000 [4 per cell]
Ti: 0.0000 0.0000 0.5000 [2 per cell]
V: 0.0000 0.3486 0.5000 [4 per cell]
S: 0.2348 0.1711 0.7223 [8 per cell]
S: 0.2389 0.5000 0.7396 [4 per cell]


[7]
## Li3TiV2S6 (PBE-GGA)

Data for Li3TiV2S6 after structural relaxation.

Results
**Electronic total energy**: -70.87 eV per formula unit

a b c (Å): 5.8804 10.2028 6.4677
angles (deg): 90.00 107.20 90.00
Space group C2/m (No. 12)
Symmetry-distinct sites (fractional):
Li: 0.0000 0.0000 0.0000 [2 per cell]
Li: 0.0000 0.3252 0.0000 [4 per cell]
Ti: 0.0000 0.5000 0.5000 [2 per cell]
V: 0.0000 0.1350 0.5000 [4 per cell]
S: 0.2438 0.3280 0.7224 [8 per cell]
S: 0.2461 0.5000 0.2489 [4 per cell]


[8]
## Li3Ti3VS8 (PBE-GGA)

Data for Li3Ti3VS8 after structural relaxation.

Results
**Electronic total energy**: -91.36 eV per formula unit

a b c (Å): 6.8761 6.8761 18.5852
angles (deg): 90.00 90.00 120.00
Space group R-3m (No. 166, hexagonal axes)
Symmetry-distinct sites (fractional):
Li: 0.0000 0.5000 0.0000 [9 per cell]
Ti: 0.0000 0.5000 0.5000 [9 per cell]
V: 0.0000 0.0000 0.5000 [3 per cell]
S: 0.0000 0.0000 0.2453 [6 per cell]
S: 0.0011 0.5005 0.2438 [18 per cell]


[9]
## Li2Y2TiS6 (PBE-GGA)

Data for Li2Y2TiS6 after structural relaxation.

Results
**Electronic total energy**: -67.56 eV per formula unit

a b c (Å): 6.6400 11.3840 6.4674
angles (deg): 90.00 107.34 90.00
Space group C2/m (No. 12)
Symmetry-distinct sites (fractional):
Li: 0.0000 0.1499 0.0000 [4 per cell]
Y: 0.0000 0.3333 0.5000 [4 per cell]
Ti: 0.0000 0.0000 0.5000 [2 per cell]
S: 0.2218 0.1544 0.7366 [8 per cell]
S: 0.2308 0.0000 0.2651 [4 per cell]


[10]
## Li3Y3TiS8 (PBE-GGA)

Data for Li3Y3TiS8 after structural relaxation.

Results
**Electronic total energy**: -91.81 eV per formula unit

a b c (Å): 7.6935 7.6935 18.4300
angles (deg): 90.00 90.00 120.00
Space group R-3m (No. 166, hexagonal axes)
Symmetry-distinct sites (fractional):
Li: 0.0000 0.5000 0.0000 [9 per cell]
Y: 0.0000 0.5000 0.5000 [9 per cell]
Ti: 0.0000 0.0000 0.5000 [3 per cell]
S: 0.0000 0.0000 0.2513 [6 per cell]
S: 0.0294 0.5147 0.2451 [18 per cell]


[11]
## Li4Y3TiS8 (PBE-GGA)

Data for Li4Y3TiS8 after structural relaxation.

Results
**Electronic total energy**: -95.16 eV per formula unit

a b c (Å): 7.6436 7.6436 18.4829
angles (deg): 90.00 90.00 120.00
Space group R-3m (No. 166, hexagonal axes)
Symmetry-distinct sites (fractional):
Li: 0.0000 0.0000 0.0000 [3 per cell]
Li: 0.0000 0.5000 0.0000 [9 per cell]
Y: 0.0000 0.5000 0.5000 [9 per cell]
Ti: 0.0000 0.0000 0.5000 [3 per cell]
S: 0.0000 0.0000 0.2519 [6 per cell]
S: 0.0195 0.5098 0.2482 [18 per cell]


[12]
## Li2ZrTi3S6 (PBE-GGA)

Data for Li2ZrTi3S6 after structural relaxation.

Results
**Electronic total energy**: -77.68 eV per formula unit

a b c (Å): 6.1341 10.6405 6.2697
angles (deg): 90.00 108.93 90.00
Space group C2/m (No. 12)
Symmetry-distinct sites (fractional):
Li: 0.0000 0.1628 0.0000 [4 per cell]
Zr: 0.0000 0.5000 0.0000 [2 per cell]
Ti: 0.0000 0.0000 0.5000 [2 per cell]
Ti: 0.0000 0.3221 0.5000 [4 per cell]
S: 0.2449 0.1695 0.7481 [8 per cell]
S: 0.2465 0.5000 0.7321 [4 per cell]


[13]
## Li4ZrTi3S8 (PBE-GGA)

Data for Li4ZrTi3S8 after structural relaxation.

Results
**Electronic total energy**: -95.86 eV per formula unit

a b c (Å): 7.0328 7.0328 18.5543
angles (deg): 90.00 90.00 120.00
Space group R-3m (No. 166, hexagonal axes)
Symmetry-distinct sites (fractional):
Li: 0.0000 0.0000 0.0000 [3 per cell]
Li: 0.0000 0.5000 0.0000 [9 per cell]
Zr: 0.0000 0.0000 0.5000 [3 per cell]
Ti: 0.0000 0.5000 0.5000 [9 per cell]
S: 0.0000 0.0000 0.2449 [6 per cell]
S: 0.0099 0.5050 0.7525 [18 per cell]


[14]
## LiZr2TiS6 (PBE-GGA)

Data for LiZr2TiS6 after structural relaxation.

Results
**Electronic total energy**: -65.58 eV per formula unit

a b c (Å): 6.3469 6.3469 17.6462
angles (deg): 90.00 90.00 120.00
Space group R3 (No. 146, hexagonal axes)
Symmetry-distinct sites (fractional):
Li: 0.0000 0.0000 0.0000 [3 per cell]
Zr: 0.0000 0.0000 0.3078 [3 per cell]
Zr: 0.0000 0.0000 0.8147 [3 per cell]
Ti: 0.0000 0.0000 0.4841 [3 per cell]
S: 0.0054 0.3499 0.2315 [9 per cell]
S: 0.0109 0.6927 0.4009 [9 per cell]


[15]
## Li3Zr2TiS6 (PBE-GGA)

Data for Li3Zr2TiS6 after structural relaxation.

Results
**Electronic total energy**: -73.34 eV per formula unit

a b c (Å): 6.1779 10.7028 6.5883
angles (deg): 90.00 108.25 90.00
Space group C2/m (No. 12)
Symmetry-distinct sites (fractional):
Li: 0.0000 0.0000 0.0000 [2 per cell]
Li: 0.0000 0.3304 0.0000 [4 per cell]
Zr: 0.0000 0.1663 0.5000 [4 per cell]
Ti: 0.0000 0.5000 0.5000 [2 per cell]
S: 0.2400 0.5000 0.2537 [4 per cell]
S: 0.2435 0.3387 0.7467 [8 per cell]


[16]
## Li3ZrTi2S6 (PBE-GGA)

Data for Li3ZrTi2S6 after structural relaxation.

Results
**Electronic total energy**: -72.20 eV per formula unit

a b c (Å): 6.0887 10.5515 6.5367
angles (deg): 90.00 108.14 90.00
Space group C2/m (No. 12)
Symmetry-distinct sites (fractional):
Li: 0.0000 0.0000 0.0000 [2 per cell]
Li: 0.0000 0.3371 0.0000 [4 per cell]
Zr: 0.0000 0.5000 0.5000 [2 per cell]
Ti: 0.0000 0.1676 0.5000 [4 per cell]
S: 0.2358 0.0000 0.7417 [4 per cell]
S: 0.2468 0.1723 0.2581 [8 per cell]


[17]
## Li2Zr2TiS6 (PBE-GGA)

Data for Li2Zr2TiS6 after structural relaxation.

Results
**Electronic total energy**: -70.00 eV per formula unit

a b c (Å): 6.1948 10.6975 6.5937
angles (deg): 90.00 108.38 90.00
Space group C2/m (No. 12)
Symmetry-distinct sites (fractional):
Li: 0.0000 0.1706 0.0000 [4 per cell]
Zr: 0.0000 0.3338 0.5000 [4 per cell]
Ti: 0.0000 0.0000 0.5000 [2 per cell]
S: 0.2385 0.0000 0.2588 [4 per cell]
S: 0.2425 0.1610 0.7421 [8 per cell]


[18]
## Li2TlS2 (PBE-GGA)

Data for Li2TlS2 after structural relaxation.

Results
**Polymorph energy (0 for the lowest one)**: 0.0 meV per atom

a b c (Å): 7.8138 7.8138 3.0242
angles (deg): 90.00 90.00 90.00
Space group P4/mbm (No. 127)
Symmetry-distinct sites (fractional):
Li: 0.1251 0.3749 0.0000 [4 per cell]
Tl: 0.0000 0.0000 0.0000 [2 per cell]
S: 0.1650 0.6650 0.5000 [4 per cell]


[19]
## LiTlS5 (PBE-GGA)

Data for LiTlS5 after structural relaxation.

Results
**Electronic total energy**: -26.29 eV per formula unit

a b c (Å): 10.4730 17.5573 6.1867
angles (deg): 90.00 112.27 90.00
Space group C2/c (No. 15)
Symmetry-distinct sites (fractional):
Li: 0.2500 0.2500 0.0000 [4 per cell]
Tl: 0.0000 0.2121 0.2500 [4 per cell]
S: 0.0000 0.2540 0.7500 [4 per cell]
S: 0.0530 0.0413 0.6482 [8 per cell]
S: 0.1365 0.3184 0.6520 [8 per cell]


[20]
## LiTl3S8 (PBE-GGA)

Data for LiTl3S8 after structural relaxation.

Results
**Electronic total energy**: -44.17 eV per formula unit

a b c (Å): 10.0493 10.6020 7.5327
angles (deg): 90.00 118.30 90.00
Space group Cm (No. 8)
Symmetry-distinct sites (fractional):
Li: 0.0000 0.0000 0.0000 [2 per cell]
Tl: 0.3506 0.0000 0.7854 [2 per cell]
Tl: 0.4146 0.2622 0.3608 [4 per cell]
S: 0.1120 0.0000 0.3554 [2 per cell]
S: 0.1799 0.5000 0.3147 [2 per cell]
S: 0.1837 0.5000 0.5792 [2 per cell]
S: 0.2297 0.2416 0.9001 [4 per cell]
S: 0.2609 0.0000 0.2316 [2 per cell]
S: 0.3334 0.3361 0.7667 [4 per cell]


Number 1: M_tot 0.99 μB/f.u.. Number 2: M_tot 3.80 μB/f.u.. Number 3: M_tot 6.78 μB/f.u.. Number 4: M_tot 3.01 μB/f.u.. Number 5: M_tot 0.27 μB/f.u.. Number 6: M_tot 3.66 μB/f.u.. Number 7: M_tot 0.92 μB/f.u.. Number 8: M_tot 2.88 μB/f.u.. Number 9: M_tot 0.00 μB/f.u.. Number 10: M_tot 0.00 μB/f.u.. Number 11: M_tot 1.01 μB/f.u.. Number 12: M_tot 0.14 μB/f.u.. Number 13: M_tot 1.87 μB/f.u.. Number 14: M_tot 0.78 μB/f.u.. Number 15: M_tot 0.01 μB/f.u.. Number 16: M_tot 0.00 μB/f.u.. Number 17: M_tot 0.00 μB/f.u.. Number 18: M_tot 0.00 μB/f.u.. Number 19: M_tot 0.00 μB/f.u.. Number 20: M_tot 0.00 μB/f.u..